[1]
NaHfAuSe2S: relaxed, PBE-GGA.

Properties
* SG: Cmcm (63)
* VASP energy: -5.21 eV/atom

Unit cell a=7.1859 b=7.1859 c=10.1348 alpha=90.00 beta=90.00 gamma=148.75
With the nearest neighbours (Å) after each atom.
Fractional coordinates of all 12 atoms:
Hf 0.5000 0.5000 0.0000  2 S 2.67, 4 Se 2.72
Hf 0.5000 0.5000 0.5000  2 S 2.67, 4 Se 2.72
Au 0.9332 0.0668 0.7500  2 Se 2.52, 2 S 2.63
Au 0.0668 0.9332 0.2500  2 Se 2.52, 2 S 2.63
Na 0.2465 0.7535 0.7500  6 Se 3.14-3.42, 2 S 3.21, 2 Au 3.23
Na 0.7535 0.2465 0.2500  6 Se 3.14-3.42, 2 S 3.21, 2 Au 3.23
S 0.4385 0.5615 0.2500  2 Au 2.63, 2 Hf 2.67
S 0.5615 0.4385 0.7500  2 Au 2.63, 2 Hf 2.67
Se 0.8629 0.1371 0.5211  1 Au 2.52, 2 Hf 2.72
Se 0.1371 0.8629 0.4789  1 Au 2.52, 2 Hf 2.72
Se 0.1371 0.8629 0.0211  1 Au 2.52, 2 Hf 2.72
Se 0.8629 0.1371 0.9789  1 Au 2.52, 2 Hf 2.72

***

[2]
NaHfTe2AuS: relaxed, PBE-GGA.

Properties
* SG: Cmcm (63)
* VASP energy: -4.90 eV/atom

Unit cell a=8.2083 b=8.2083 c=10.0084 alpha=90.00 beta=90.00 gamma=150.97
With the nearest neighbours (Å) after each atom.
Fractional coordinates of all 12 atoms:
Te 0.3658 0.6342 0.5034  1 Au 2.70, 2 Hf 2.96
Te 0.6342 0.3658 0.0034  1 Au 2.70, 2 Hf 2.96
Te 0.6342 0.3658 0.4966  1 Au 2.70, 2 Hf 2.96
Te 0.3658 0.6342 0.9966  1 Au 2.70, 2 Hf 2.96
S 0.0266 0.9734 0.2500  2 Hf 2.54, 2 Au 2.62
S 0.9734 0.0266 0.7500  2 Hf 2.54, 2 Au 2.62
Au 0.4245 0.5755 0.2500  2 S 2.62, 2 Te 2.70
Au 0.5755 0.4245 0.7500  2 S 2.62, 2 Te 2.70
Na 0.2203 0.7797 0.7500  2 Au 3.09, 2 Te 3.38
Na 0.7797 0.2203 0.2500  2 Au 3.09, 2 Te 3.38
Hf 0.0000 0.0000 0.0000  2 S 2.54
Hf 0.0000 0.0000 0.5000  2 S 2.54

***

[3]
NaHfTeAuS2: relaxed, PBE-GGA.

Properties
* SG: Cmcm (63)
* VASP energy: -5.21 eV/atom

Unit cell a=7.4058 b=7.4058 c=10.6233 alpha=90.00 beta=90.00 gamma=150.39
With the nearest neighbours (Å) after each atom.
Fractional coordinates of all 12 atoms:
Te 0.6011 0.3989 0.2500  2 Au 2.84, 2 Hf 3.03
Te 0.3989 0.6011 0.7500  2 Au 2.84, 2 Hf 3.03
Au 0.9531 0.0469 0.2500  2 S 2.43
Au 0.0469 0.9531 0.7500  2 S 2.43
S 0.1192 0.8808 0.5431  1 Au 2.43, 2 Hf 2.59
S 0.1192 0.8808 0.9569  1 Au 2.43, 2 Hf 2.59
S 0.8808 0.1192 0.4569  1 Au 2.43, 2 Hf 2.59
S 0.8808 0.1192 0.0431  1 Au 2.43, 2 Hf 2.59
Hf 0.5000 0.5000 0.0000  4 S 2.59
Hf 0.5000 0.5000 0.5000  4 S 2.59
Na 0.2831 0.7169 0.2500  2 Au 3.08, 4 S 3.22, 2 Te 3.22
Na 0.7169 0.2831 0.7500  2 Au 3.08, 4 S 3.22, 2 Te 3.22

***

[4]
HfNbAu2: relaxed, PBE-GGA.

Properties
* formation energy: 0.007 eV per atom
* SG: F-43m (216)

Unit cell a=4.7215 b=4.7215 c=4.7215 alpha=60.00 beta=60.00 gamma=60.00
With the nearest neighbours (Å) after each atom.
Fractional coordinates of all 4 atoms:
Au 0.0000 0.0000 0.0000  4 Nb 2.89, 4 Au 2.89
Au 0.2500 0.2500 0.2500  4 Hf 2.89, 4 Au 2.89
Nb 0.7500 0.7500 0.7500  4 Hf 2.89, 4 Au 2.89
Hf 0.5000 0.5000 0.5000  4 Au 2.89, 4 Nb 2.89

***

Repeat the first record exactly.
NaHfAuSe2S: relaxed, PBE-GGA.

Properties
* SG: Cmcm (63)
* VASP energy: -5.21 eV/atom

Unit cell a=7.1859 b=7.1859 c=10.1348 alpha=90.00 beta=90.00 gamma=148.75
With the nearest neighbours (Å) after each atom.
Fractional coordinates of all 12 atoms:
Hf 0.5000 0.5000 0.0000  2 S 2.67, 4 Se 2.72
Hf 0.5000 0.5000 0.5000  2 S 2.67, 4 Se 2.72
Au 0.9332 0.0668 0.7500  2 Se 2.52, 2 S 2.63
Au 0.0668 0.9332 0.2500  2 Se 2.52, 2 S 2.63
Na 0.2465 0.7535 0.7500  6 Se 3.14-3.42, 2 S 3.21, 2 Au 3.23
Na 0.7535 0.2465 0.2500  6 Se 3.14-3.42, 2 S 3.21, 2 Au 3.23
S 0.4385 0.5615 0.2500  2 Au 2.63, 2 Hf 2.67
S 0.5615 0.4385 0.7500  2 Au 2.63, 2 Hf 2.67
Se 0.8629 0.1371 0.5211  1 Au 2.52, 2 Hf 2.72
Se 0.1371 0.8629 0.4789  1 Au 2.52, 2 Hf 2.72
Se 0.1371 0.8629 0.0211  1 Au 2.52, 2 Hf 2.72
Se 0.8629 0.1371 0.9789  1 Au 2.52, 2 Hf 2.72